Material: K2Ga3Au2
Method: DFT, PBE-GGA
State: relaxed

Unit cell a=12.4860 b=4.4504 c=7.8859 alpha=90.00 beta=124.18 gamma=90.00
Last column: nearest neighbours and their distance in Å.
Space group C2/m (No. 12)
Unique sites:
1 K 0.1397 0.0000 0.2639 [4 per cell]  4 Au 3.37-3.66, 3 Ga 3.53-3.66, 1 K 3.63
2 Ga 0.0000 0.5000 0.5000 [2 per cell]  4 Au 2.68, 2 Ga 2.80
3 Ga 0.1534 0.5000 0.9295 [4 per cell]  3 Au 2.65-2.70, 1 Ga 2.80
4 Au 0.1207 0.0000 0.7103 [4 per cell]  5 Ga 2.65-2.70

Calculated values
Its mass density is 6.24 g/cm3. Its total energy is -2.82 eV/atom.

***

Material: K2GaAu
Method: DFT, PBE-GGA
State: relaxed

Unit cell a=4.8511 b=17.5959 c=8.3742 alpha=90.00 beta=90.00 gamma=90.00
Last column: nearest neighbours and their distance in Å.
Space group Cmmm (No. 65)
Unique sites:
1 K 0.0000 0.1328 0.2490 [8 per cell]  2 Ga 3.41, 3 Au 3.47-3.49
2 Ga 0.0000 0.4323 0.5000 [4 per cell]  1 Ga 2.38, 1 Au 2.51
3 Au 0.0000 0.2898 0.5000 [4 per cell]  1 Ga 2.51, 2 Au 2.80

Calculated values
Its mass density is 3.20 g/cm3. Its total energy is -2.20 eV/atom.

***

Material: K2GaAu2O3
Method: DFT, PBE-GGA
State: relaxed

Unit cell a=19.5519 b=3.5252 c=4.3362 alpha=90.00 beta=101.82 gamma=90.00
Last column: nearest neighbours and their distance in Å.
Space group Cm (No. 8)
Unique sites:
1 K 0.0000 0.0000 0.0000 [2 per cell]  6 O 2.81-2.82
2 K 0.1270 0.0000 0.6186 [2 per cell]  4 O 2.59-2.69
3 Ga 0.3872 0.0000 0.3958 [2 per cell]  1 O 1.75
4 Au 0.2890 0.5000 0.3071 [2 per cell]  1 O 2.22
5 Au 0.3126 0.0000 0.8261 [2 per cell]  2 Ga 2.59-2.60, 4 Au 2.82-2.84
6 O 0.1143 0.5000 0.1431 [2 per cell]  1 O 1.42
7 O 0.1791 0.5000 0.0405 [2 per cell]  1 O 1.42
8 O 0.4787 0.0000 0.4804 [2 per cell]  1 Ga 1.75

Calculated values
Its mass density is 6.70 g/cm3. Its total energy is -4.05 eV/atom.

***

Material: KGaPbAu
Method: DFT, PBE-GGA
State: relaxed

Unit cell a=12.1612 b=5.0280 c=18.5903 alpha=90.00 beta=90.00 gamma=90.00
Last column: nearest neighbours and their distance in Å.
Space group Amm2 (No. 38)
Unique sites:
1 K 0.0000 0.0000 0.0000 [2 per cell]  3 Au 3.19-3.23
2 K 0.0000 0.0000 0.2205 [2 per cell]  3 Au 3.19-3.24
3 Ga 0.2132 0.0000 0.3997 [4 per cell]  1 Au 2.59, 2 Pb 2.81
4 Pb 0.2335 0.0000 0.8341 [4 per cell]  2 Ga 2.81, 1 Au 2.84
5 Au 0.0000 0.0000 0.3948 [2 per cell]  2 Ga 2.59, 2 Au 2.82
6 Au 0.0000 0.0000 0.8262 [2 per cell]  2 Au 2.82, 2 Pb 2.84

Calculated values
Its mass density is 3.00 g/cm3. As for the energy relative to the lowest polymorph listed for this composition: 0.148 eV/atom. Its total energy is -2.64 eV/atom.

***

Material: K2Ga3PbAu2
Method: DFT, PBE-GGA
State: relaxed

Unit cell a=23.9259 b=4.4157 c=4.9036 alpha=90.00 beta=96.87 gamma=90.00
Last column: nearest neighbours and their distance in Å.
Space group Cm (No. 8)
Unique sites:
1 K 0.0000 0.0000 0.0000 [2 per cell]  1 Au 3.44, 4 Pb 3.56-3.67
2 K 0.1786 0.0000 0.9175 [2 per cell]  1 Au 3.32, 4 Ga 3.47-3.56
3 Ga 0.2441 0.5000 0.5124 [2 per cell]  2 Ga 2.69-2.79, 3 Au 2.72-2.97
4 Ga 0.2957 0.5000 0.0304 [2 per cell]  4 Ga 2.69-2.87, 3 Au 2.69-2.81
5 Ga 0.3666 0.0000 0.9251 [2 per cell]  3 Au 2.66-2.80, 2 Ga 2.87, 1 Pb 2.91
6 Pb 0.4383 0.0000 0.4476 [2 per cell]  2 Ga 2.91-3.06, 2 Au 2.95
7 Au 0.2969 0.0000 0.3456 [2 per cell]  5 Ga 2.69-2.80
8 Au 0.3691 0.5000 0.6239 [2 per cell]  4 Ga 2.66-2.97, 2 Pb 2.95

Calculated values
Its mass density is 5.74 g/cm3. Its total energy is -2.85 eV/atom.

***

Material: KGaPbAu
Method: DFT, PBE-GGA
State: relaxed

Unit cell a=5.5997 b=18.4044 c=4.6345 alpha=90.00 beta=90.00 gamma=90.00
Last column: nearest neighbours and their distance in Å.
Space group Cmm2 (No. 35)
Unique sites:
1 K 0.0000 0.0968 0.0000 [4 per cell]  3 Ga 3.38-3.75, 2 Au 3.51-3.57, 1 K 3.56, 4 Pb 3.64
2 Ga 0.0000 0.3005 0.0084 [4 per cell]  2 Au 2.55
3 Pb 0.0000 0.4159 0.5004 [4 per cell]  1 Pb 3.09, 2 Ga 3.12-3.17, 1 Au 3.20
4 Au 0.0000 0.2423 0.5088 [4 per cell]  2 Ga 2.55, 2 Au 2.81

Calculated values
Its mass density is 7.13 g/cm3. As for the energy relative to the lowest polymorph listed for this composition: 0.000 eV/atom. Its total energy is -2.79 eV/atom.

***

Material: KRbGaAu3
Method: DFT, PBE-GGA
State: relaxed

Unit cell a=5.6369 b=6.6761 c=8.7564 alpha=90.00 beta=90.00 gamma=90.00
Last column: nearest neighbours and their distance in Å.
Space group Pmma (No. 51)
Unique sites:
1 K 0.2500 0.0000 0.1234 [2 per cell]  8 Au 3.40-3.68, 2 K 3.55, 2 Ga 3.74
2 Rb 0.2500 0.5000 0.3611 [2 per cell]  10 Au 3.50-3.82, 2 Rb 3.72, 3 Ga 3.77-3.81
3 Ga 0.2500 0.5000 0.9311 [2 per cell]  2 Au 2.55
4 Au 0.0000 0.0000 0.5000 [2 per cell]  6 Au 2.82-2.89
5 Au 0.2500 0.2165 0.7367 [4 per cell]  1 Ga 2.55

Calculated values
Its mass density is 7.91 g/cm3. As for the energy relative to the lowest polymorph listed for this composition: 0.000 eV/atom. Its total energy is -2.80 eV/atom.

***

Material: K3Rb2GaAu2
Method: DFT, PBE-GGA
State: relaxed

Unit cell a=19.5899 b=4.0328 c=10.0089 alpha=90.00 beta=119.67 gamma=90.00
Last column: nearest neighbours and their distance in Å.
Space group Cm (No. 8)
Unique sites:
1 K 0.0000 0.0000 0.0000 [2 per cell]  2 Au 3.25-3.48, 2 Ga 3.49
2 K 0.1521 0.0000 0.5867 [2 per cell]  3 Au 3.28-3.55, 2 Ga 3.51, 1 K 3.66
3 K 0.3196 0.0000 0.9782 [2 per cell]  3 Au 3.34-3.70, 1 Ga 3.50, 1 K 3.66
4 Rb 0.2273 0.0000 0.3041 [2 per cell]  3 Au 3.58-3.74, 2 K 3.78-3.96
5 Rb 0.4659 0.0000 0.6132 [2 per cell]  4 Au 3.66-3.79, 1 Ga 3.70, 2 Rb 4.03
6 Ga 0.0101 0.5000 0.2936 [2 per cell]  5 K 3.49-3.51, 1 Rb 3.70
7 Au 0.1315 0.0000 0.8926 [2 per cell]  3 K 3.25-3.34, 1 Rb 3.58
8 Au 0.3175 0.5000 0.6666 [2 per cell]  5 K 3.48-3.70, 4 Rb 3.74-3.79

Calculated values
Its mass density is 3.63 g/cm3. Its total energy is -1.86 eV/atom.

***

Material: KRbGaAu3
Method: DFT, PBE-GGA
State: relaxed

Unit cell a=5.6648 b=6.5657 c=8.8920 alpha=90.00 beta=90.00 gamma=90.00
Last column: nearest neighbours and their distance in Å.
Space group Pmma (No. 51)
Unique sites:
1 K 0.2500 0.0000 0.1381 [2 per cell]  10 Au 3.45-3.78, 2 K 3.75, 3 Ga 3.83-3.86
2 Rb 0.2500 0.5000 0.3775 [2 per cell]  8 Au 3.46-3.82, 2 Rb 3.57, 2 Ga 3.71
3 Ga 0.2500 0.0000 0.5717 [2 per cell]  2 Au 2.54
4 Au 0.0000 0.5000 0.0000 [2 per cell]  6 Au 2.83-2.87
5 Au 0.2500 0.2748 0.7731 [4 per cell]  1 Ga 2.54

Calculated values
Its mass density is 7.88 g/cm3. As for the energy relative to the lowest polymorph listed for this composition: 0.003 eV/atom. Its total energy is -2.80 eV/atom.

***

Material: KGa2SnAu
Method: DFT, PBE-GGA
State: relaxed

Unit cell a=4.6196 b=4.6196 c=11.4413 alpha=90.00 beta=90.00 gamma=90.00
Last column: nearest neighbours and their distance in Å.
Space group I-4m2 (No. 119)
Unique sites:
1 K 0.0000 0.0000 0.0000 [2 per cell]  8 Ga 3.52, 4 Sn 3.68, 4 Au 3.68
2 Ga 0.0000 0.0000 0.3860 [4 per cell]  1 Ga 2.61, 2 Sn 2.78, 2 Au 2.78
3 Sn 0.0000 0.5000 0.7500 [2 per cell]  4 Ga 2.78
4 Au 0.0000 0.5000 0.2500 [2 per cell]  4 Ga 2.78

Calculated values
Its mass density is 6.72 g/cm3. Its total energy is -3.09 eV/atom.

***

Material: KYGa4Au2
Method: DFT, PBE-GGA
State: relaxed

Unit cell a=6.7924 b=4.6009 c=10.5656 alpha=90.00 beta=90.00 gamma=90.00
Last column: nearest neighbours and their distance in Å.
Space group Amm2 (No. 38)
Unique sites:
1 K 0.0000 0.0000 0.0000 [2 per cell]  3 Au 3.05-3.20, 6 Ga 3.13-3.31
2 Y 0.5000 0.0000 0.1863 [2 per cell]  6 Ga 3.09-3.23, 3 Au 3.13-3.15
3 Ga 0.1982 0.0000 0.7133 [4 per cell]  2 Ga 2.69-2.72, 3 Au 2.77-2.78
4 Ga 0.3075 0.0000 0.4656 [4 per cell]  2 Ga 2.61-2.72, 3 Au 2.76-2.80
5 Au 0.0000 0.0000 0.2891 [2 per cell]  6 Ga 2.78-2.80, 1 K 3.05
6 Au 0.5000 0.0000 0.8900 [2 per cell]  6 Ga 2.76-2.77

Calculated values
The magnetization comes out at 0.03 μB per cell. Its mass density is 8.05 g/cm3. Its total energy is -3.67 eV/atom.

***

Material: LaGaAu
Method: DFT, PBE-GGA
State: relaxed

Unit cell a=4.6808 b=7.5310 c=7.9708 alpha=90.00 beta=90.00 gamma=90.00
Last column: nearest neighbours and their distance in Å.
Space group Imm2 (No. 44)
Unique sites:
1 La 0.0000 0.0000 0.0000 [2 per cell]  6 Ga 3.20-3.49, 6 Au 3.21-3.27
2 La 0.0000 0.5000 0.0576 [2 per cell]  6 Ga 3.16-3.36, 6 Au 3.31-3.36
3 Ga 0.0000 0.1897 0.3600 [4 per cell]  3 Au 2.71-2.73, 1 Ga 2.86
4 Au 0.0000 0.2759 0.6927 [4 per cell]  3 Ga 2.71-2.73

Calculated values
The magnetization comes out at 0.01 μB per cell. Its mass density is 9.59 g/cm3. Its total energy is -4.57 eV/atom.